GGA-PBE SmZr2NiN4, relaxed; E = -8.874 eV per atom; formation energy from raw total energies = -121.7 kJ/mol of atoms
1.0
-2.1981 0.7878 -2.2817
-1.8350 -4.8745 2.4204
-5.7099 5.8908 7.5346
N Ni Zr Sm
8 2 4 2
direct
0.0000 0.0000 0.5000
0.5551 0.1103 0.2500
0.7312 0.4624 0.8855
0.7312 0.4624 0.6145
0.2688 0.5376 0.1145
0.0000 0.0000 0.0000
0.2688 0.5376 0.3855
0.4449 0.8897 0.7500
0.8461 0.6922 0.7500
0.1539 0.3078 0.2500
0.6323 0.2647 0.0553
0.3677 0.7353 0.9447
0.6323 0.2647 0.4447
0.3677 0.7353 0.5553
0.8909 0.7818 0.2500
0.1091 0.2182 0.7500